Compound: AsPd2O5
Source: OQMD via LeMat-Bulk
Functional: GGA-PBE
Structure: optimized geometry

Unit cell a=5.201 b=5.201 c=3.438 alpha=90.00 beta=90.00 gamma=90.00
Space group P4/mmm (No. 123)
Inequivalent atoms, fractional coordinates:
As 0.000 0.000 0.000
Pd 0.000 0.500 0.500
O 0.000 0.000 0.500
O 0.250 0.250 0.000

---

Compound: As2PdO
Source: OQMD via LeMat-Bulk
Functional: GGA-PBE
Structure: optimized geometry

Unit cell a=3.874 b=3.874 c=8.623 alpha=90.00 beta=90.00 gamma=90.00
Space group P4/nmm (No. 129, origin choice 2)
Inequivalent atoms, fractional coordinates:
As 0.250 0.250 0.115
As 0.250 0.250 0.687
Pd 0.250 0.750 0.500
O 0.250 0.750 0.000

For the relative energy among the computed polymorphs, the calculation gives 0.25 eV per formula unit.

---

Compound: As2PdO
Source: OQMD via LeMat-Bulk
Functional: GGA-PBE
Structure: optimized geometry

Unit cell a=3.634 b=6.457 c=6.267 alpha=90.00 beta=90.00 gamma=90.00
Space group Pmc2_1 (No. 26)
Inequivalent atoms, fractional coordinates:
As 0.000 0.178 0.000
As 0.000 0.196 0.598
Pd 0.500 0.332 0.181
O 0.500 0.295 0.561

For the relative energy among the computed polymorphs, the calculation gives 0.35 eV per formula unit.

---

What are the energy values for these records? In order: -4.984 -5.066 -5.042 eV per atom.